The following is a PBE calculation of a relaxed Ca2PbAu crystal, from Alexandria via LeMat-Bulk.

POSCAR file:
```
Ca2PbAu
1.0
-2.062 2.062 8.449
2.062 -2.062 8.449
2.062 2.062 -8.449
Ca Pb Au
2 1 1
direct
0.170 0.170 0.000
0.830 0.830 0.000
0.500 0.500 0.000
0.000 0.000 0.000
```

D(E_F) in states/eV/atom: 0.75
DFT formation energy in eV per atom: -0.127
Energy in eV per atom: -2.87
Space-group type: I4/mmm
M_tot in μB per atom: 0.000